(1)
The following is a DFT calculation (PBE) of a geometry-optimized Rb3Nd3ErSe8 structure.

Unit cell a=8.583 b=8.585 c=9.575 alpha=116.66 beta=89.99 gamma=119.99
Positions (direct):
Rb 0.000 0.000 0.000
Rb 0.000 0.500 0.000
Rb 0.500 0.500 0.000
Nd 0.500 0.000 0.500
Nd 0.500 0.500 0.500
Nd 0.000 0.500 0.500
Er 0.000 0.000 0.500
Se 0.266 0.532 0.298
Se 0.734 0.468 0.702
Se 0.774 0.548 0.306
Se 0.226 0.452 0.694
Se 0.774 0.032 0.306
Se 0.226 0.968 0.694
Se 0.258 0.032 0.306
Se 0.742 0.968 0.694

Values from the calculation:
Formation energy (no corrections): -1651 meV per atom
Total energy: -4.960 eV/atom
SG: No. 166

(2)
The following is a DFT calculation (PBE) of a geometry-optimized Rb2NdErSe4 structure.

Unit cell a=4.295 b=7.441 c=8.382 alpha=107.20 beta=90.00 gamma=90.00
Positions (direct):
Rb 0.500 0.000 0.500
Rb 0.000 0.500 0.500
Nd 0.500 0.500 0.000
Er 0.000 0.000 0.000
Se 0.500 0.223 0.196
Se 0.500 0.777 0.804
Se 0.000 0.258 0.801
Se 0.000 0.742 0.199

Values from the calculation:
Formation energy (no corrections): -1727 meV per atom
Total energy: -4.878 eV/atom
SG: No. 10

(3)
The following is a DFT calculation (PBE) of a geometry-optimized Rb3Nd2ErTe6 structure.

Unit cell a=7.969 b=7.969 c=8.969 alpha=98.52 beta=98.52 gamma=120.01
Positions (direct):
Rb 0.169 0.831 0.500
Rb 0.831 0.169 0.500
Rb 0.500 0.500 0.500
Nd 0.334 0.666 0.000
Nd 0.666 0.334 0.000
Er 0.000 0.000 0.000
Te 0.933 0.608 0.798
Te 0.744 0.744 0.203
Te 0.067 0.392 0.202
Te 0.608 0.933 0.798
Te 0.256 0.256 0.797
Te 0.392 0.067 0.202

Values from the calculation:
Formation energy (no corrections): -1393 meV per atom
Total energy: -4.381 eV/atom
SG: No. 12

(4)
The following is a DFT calculation (PBE) of a geometry-optimized Rb4Nd3ErTe8 structure.

Unit cell a=9.227 b=10.091 c=9.227 alpha=117.22 beta=120.00 gamma=90.00
Positions (direct):
Rb 0.500 0.000 0.000
Rb 0.500 0.000 0.500
Rb 0.000 0.000 0.000
Rb 0.000 0.000 0.500
Nd 0.500 0.500 0.000
Nd 0.500 0.500 0.500
Nd 0.000 0.500 0.500
Er 0.000 0.500 0.000
Te 0.230 0.702 0.972
Te 0.230 0.702 0.460
Te 0.265 0.294 0.529
Te 0.743 0.702 0.972
Te 0.257 0.298 0.028
Te 0.735 0.706 0.471
Te 0.770 0.298 0.540
Te 0.770 0.298 0.028

Values from the calculation:
Formation energy (no corrections): -1396 meV per atom
Total energy: -4.388 eV/atom
SG: No. 166

(5)
The following is a DFT calculation (PBE) of a geometry-optimized Rb3Nd3ErTe8 structure.

Unit cell a=9.037 b=9.040 c=10.283 alpha=116.10 beta=90.01 gamma=119.98
Positions (direct):
Rb 0.000 0.000 0.000
Rb 0.000 0.500 0.000
Rb 0.500 0.500 0.000
Nd 0.500 0.000 0.500
Nd 0.500 0.500 0.500
Nd 0.000 0.500 0.500
Er 0.000 0.000 0.500
Te 0.264 0.529 0.293
Te 0.736 0.471 0.707
Te 0.771 0.542 0.300
Te 0.229 0.458 0.700
Te 0.771 0.029 0.300
Te 0.229 0.971 0.700
Te 0.258 0.029 0.300
Te 0.742 0.971 0.700

Values from the calculation:
Formation energy (no corrections): -1318 meV per atom
Total energy: -4.445 eV/atom
SG: No. 166

(6)
The following is a DFT calculation (PBE) of a geometry-optimized Rb4NdEr3Te8 structure.

Unit cell a=9.073 b=10.033 c=9.073 alpha=116.90 beta=120.00 gamma=90.00
Positions (direct):
Rb 0.500 0.000 0.000
Rb 0.500 0.000 0.500
Rb 0.000 0.000 0.000
Rb 0.000 0.000 0.500
Nd 0.000 0.500 0.000
Er 0.500 0.500 0.000
Er 0.500 0.500 0.500
Er 0.000 0.500 0.500
Te 0.238 0.700 0.963
Te 0.238 0.700 0.475
Te 0.268 0.303 0.536
Te 0.725 0.700 0.963
Te 0.275 0.300 0.037
Te 0.732 0.697 0.464
Te 0.762 0.300 0.525
Te 0.762 0.300 0.037

Values from the calculation:
Formation energy (no corrections): -1376 meV per atom
Total energy: -4.342 eV/atom
SG: No. 166